[1]
A PBEsol-optimized structure of Li2BeAl. Source: Alexandria, functional meta-GGA SCAN.

POSCAR file:
```
Li2BeAl
1.0
0.0000 2.9592 2.9592
2.9592 0.0000 2.9592
2.9592 2.9592 0.0000
Li Be Al
2 1 1
Cartesian
0.0000 0.0000 0.0000
1.4796 1.4796 1.4796
4.4387 4.4387 4.4387
2.9592 2.9592 2.9592
```

Output
Energy above the lowest structure with this stoichiometry   0.000 eV/f.u.
E_form   -2.5 kJ per mole of atoms
E   -4.247 eV/atom

=====

[2]
A PBEsol-optimized structure of La2PdO2. Source: Alexandria, functional meta-GGA SCAN.

POSCAR file:
```
La2PdO2
1.0
-1.9730 1.9730 6.3717
1.9730 -1.9730 6.3717
1.9730 1.9730 -6.3717
La Pd O
2 1 2
Cartesian
0.0000 0.0000 1.9319
0.0000 0.0000 10.8115
0.0000 0.0000 6.3717
1.9730 0.0000 3.1859
0.0000 1.9730 3.1859
```

Output
Raw formation energy   -2.72 eV/atom
E   -29.005 eV/atom

=====

[3]
A PBEsol-optimized structure of InMoP2. Source: Alexandria, functional meta-GGA SCAN.

POSCAR file:
```
InMoP2
1.0
4.3956 0.0000 0.0000
0.0000 4.3956 0.0000
0.0000 0.0000 3.2226
In Mo P
1 1 2
Cartesian
0.0000 0.0000 0.0000
2.1978 2.1978 0.0000
0.0000 2.1978 1.6113
2.1978 0.0000 1.6113
```

Output
E_form   49.6 kJ per mole of atoms
E   -21.754 eV/atom